Run a
VASP calculation (PBE) on an optimized crystal structure of Si3MoCl.

The density of states at the Fermi level comes out at 0.8996 states/eV/atom. For the density, the calculation gives 3.298 Mg/m³. Its total magnetic moment is 0.00 μB/f.u.

Cell: 4.771 4.771 4.771 Å, 90.00 90.00 90.00°
Fractional positions:
Mo (0.000, 0.000, 0.000)
Si (0.000, 0.000, 0.500)
Si (0.500, 0.000, 0.000)
Si (0.000, 0.500, 0.000)
Cl (0.500, 0.500, 0.500)

***

Run b
VASP calculation (PBE) on an optimized crystal structure of Si3MoCl.

The density of states at the Fermi level comes out at 0.6890 states/eV/atom. For the density, the calculation gives 3.954 Mg/m³. Its total magnetic moment is 2.22 μB/f.u.

Cell: 4.491 4.491 4.491 Å, 90.00 90.00 90.00°
Each line ends with the local moment (μB).
Fractional positions:
Si (0.000, 0.000, 0.500)  -0.04
Si (0.000, 0.500, 0.000)  -0.03
Si (0.500, 0.000, 0.000)  -0.01
Cl (0.000, 0.000, 0.000)  -0.02
Mo (0.500, 0.500, 0.500)  2.03

***

Last place for stability: run b

***

Run a
VASP calculation (PBE) on an optimized crystal structure of Sn3MoCl.

The density of states at the Fermi level comes out at 0.7632 states/eV/atom. For the density, the calculation gives 5.537 Mg/m³. Its total magnetic moment is 4.09 μB/f.u.

Cell: 5.268 5.268 5.268 Å, 90.00 90.00 90.00°
Each line ends with the local moment (μB).
Fractional positions:
Sn (0.000, 0.000, 0.500)  0.00
Sn (0.000, 0.500, 0.000)  -0.05
Sn (0.500, 0.000, 0.000)  0.02
Mo (0.500, 0.500, 0.500)  3.38
Cl (0.000, 0.000, 0.000)  0.00

***

Run b
VASP calculation (PBE) on an optimized crystal structure of Sn3MoCl.

The density of states at the Fermi level comes out at 0.5974 states/eV/atom. For the density, the calculation gives 5.588 Mg/m³. Its total magnetic moment is 0.00 μB/f.u.

Cell: 5.252 5.252 5.252 Å, 90.00 90.00 90.00°
Fractional positions:
Mo (0.000, 0.000, 0.000)
Cl (0.500, 0.500, 0.500)
Sn (0.000, 0.000, 0.500)
Sn (0.000, 0.500, 0.000)
Sn (0.500, 0.000, 0.000)

***

Last place for stability: run a